Be2HgO2 | PBE-GGA | relaxed

```
Be2HgO2
1.0
-2.409 1.913 -1.354
-0.826 -2.511 -2.077
-6.282 -2.756 3.110
Be Hg O
2 1 2
Direct
0.250 0.250 0.501
0.750 0.750 0.499
0.000 0.000 0.000
0.750 0.250 0.500
0.250 0.750 0.500
```

Summary:
* total energy: -26.23 eV per cell
* E above lowest polymorph: 0.000 eV/f.u.
* raw formation energy: -165.1 kJ per mole of atoms